a) The following is a DFT calculation (GGA-PBE) of crystalline K2BaTa at its relaxed geometry.

- Space group: No. 139
- DOS(E_F): 5.8 states/eV/f.u.

abc: 7.490 7.490 7.490
angles: 139.23 139.23 59.02
Last column: magnetic moment on the atom in μB.
Fractional positions:
K  0.000  0.000  0.000  0.01
K  0.500  0.500  0.000  0.01
Ba  0.750  0.250  0.500  0.14
Ta  0.250  0.750  0.500  2.10

=====

b) The following is a DFT calculation (GGA-PBE) of crystalline K2BaTa at its relaxed geometry.

- Space group: No. 160
- DOS(E_F): 4.0 states/eV/f.u.

abc: 14.112 14.112 14.112
angles: 14.65 14.65 14.65
Fractional positions:
K  0.235  0.235  0.235
K  0.002  0.002  0.002
Ba  0.766  0.766  0.766
Ta  0.496  0.496  0.496

=====

List of relative energies, unit meV per atom: a) 226; b) 0